# Li9In4Hg11 | Alexandria via LeMat-Bulk | PBE | optimized geometry
data_Li9In4Hg11
_chemical_formula_sum 'Li9 In4 Hg11'
_space_group_name_H-M_alt 'P 1'
_space_group_IT_number 1
_cell_length_a 12.377
_cell_length_b 12.377
_cell_length_c 3.314
_cell_angle_alpha 90.00
_cell_angle_beta 90.00
_cell_angle_gamma 101.13
loop_
_space_group_symop_operation_xyz
'x,y,z'
loop_
_atom_site_label
_atom_site_type_symbol
_atom_site_fract_x
_atom_site_fract_y
_atom_site_fract_z
_atom_site_occupancy
Li1 Li 0.000 0.000 0.000 1
Li2 Li 0.113 0.645 0.000 1
Li3 Li 0.302 0.493 0.000 1
Li4 Li 0.355 0.887 0.000 1
Li5 Li 0.493 0.302 0.000 1
Li6 Li 0.507 0.698 0.000 1
Li7 Li 0.645 0.113 0.000 1
Li8 Li 0.698 0.507 0.000 1
Li9 Li 0.887 0.355 0.000 1
In1 In 0.074 0.235 0.000 1
In2 In 0.235 0.074 0.000 1
In3 In 0.765 0.926 0.000 1
In4 In 0.926 0.765 0.000 1
Hg1 Hg 0.108 0.456 0.500 1
Hg2 Hg 0.148 0.852 0.500 1
Hg3 Hg 0.304 0.304 0.500 1
Hg4 Hg 0.314 0.686 0.500 1
Hg5 Hg 0.456 0.108 0.500 1
Hg6 Hg 0.500 0.500 0.500 1
Hg7 Hg 0.544 0.892 0.500 1
Hg8 Hg 0.686 0.314 0.500 1
Hg9 Hg 0.696 0.696 0.500 1
Hg10 Hg 0.852 0.148 0.500 1
Hg11 Hg 0.892 0.544 0.500 1
# magnetization	0.0	μB/cell
# formation energy from the elements	-0.253	eV/atom

=====

# Ac4TlGeI2 | Alexandria via LeMat-Bulk | PBE | optimized geometry
data_Ac4TlGeI2
_chemical_formula_sum 'Ac4 Tl1 Ge1 I2'
_space_group_name_H-M_alt 'P 1'
_space_group_IT_number 1
_cell_length_a 8.331
_cell_length_b 4.761
_cell_length_c 8.352
_cell_angle_alpha 90.00
_cell_angle_beta 109.28
_cell_angle_gamma 90.00
loop_
_space_group_symop_operation_xyz
'x,y,z'
loop_
_atom_site_label
_atom_site_type_symbol
_atom_site_fract_x
_atom_site_fract_y
_atom_site_fract_z
_atom_site_occupancy
Ac1 Ac 0.228 0.000 0.209 1
Ac2 Ac 0.251 0.500 0.784 1
Ac3 Ac 0.749 0.500 0.216 1
Ac4 Ac 0.772 0.000 0.791 1
Tl1 Tl 0.500 0.000 0.000 1
Ge1 Ge 0.000 0.500 0.000 1
I1 I 0.000 0.000 0.500 1
I2 I 0.500 0.500 0.500 1
# magnetization	0.0	μB/cell
# formation energy without anion corrections	-820	meV/atom

=====

# Tl3HgCl3 | Alexandria via LeMat-Bulk | PBE | optimized geometry
data_Tl3HgCl3
_chemical_formula_sum 'Tl6 Hg2 Cl6'
_space_group_name_H-M_alt 'P 1'
_space_group_IT_number 1
_cell_length_a 8.759
_cell_length_b 8.759
_cell_length_c 8.759
_cell_angle_alpha 90.00
_cell_angle_beta 90.00
_cell_angle_gamma 90.00
loop_
_space_group_symop_operation_xyz
'x,y,z'
loop_
_atom_site_label
_atom_site_type_symbol
_atom_site_fract_x
_atom_site_fract_y
_atom_site_fract_z
_atom_site_occupancy
Tl1 Tl 0.000 0.250 0.500 1
Tl2 Tl 0.000 0.750 0.500 1
Tl3 Tl 0.250 0.500 0.000 1
Tl4 Tl 0.500 0.000 0.250 1
Tl5 Tl 0.500 0.000 0.750 1
Tl6 Tl 0.750 0.500 0.000 1
Hg1 Hg 0.000 0.000 0.000 1
Hg2 Hg 0.500 0.500 0.500 1
Cl1 Cl 0.000 0.500 0.250 1
Cl2 Cl 0.000 0.500 0.750 1
Cl3 Cl 0.250 0.000 0.500 1
Cl4 Cl 0.500 0.250 0.000 1
Cl5 Cl 0.500 0.750 0.000 1
Cl6 Cl 0.750 0.000 0.500 1
# magnetization	0.0	μB/cell
# formation energy without anion corrections	-789	meV/atom

=====

# LiHoGe2Pd4 | Alexandria via LeMat-Bulk | PBE | optimized geometry
data_LiHoGe2Pd4
_chemical_formula_sum 'Li1 Ho1 Ge2 Pd4'
_space_group_name_H-M_alt 'P 1'
_space_group_IT_number 1
_cell_length_a 8.437
_cell_length_b 8.437
_cell_length_c 8.437
_cell_angle_alpha 29.79
_cell_angle_beta 29.79
_cell_angle_gamma 29.79
loop_
_space_group_symop_operation_xyz
'x,y,z'
loop_
_atom_site_label
_atom_site_type_symbol
_atom_site_fract_x
_atom_site_fract_y
_atom_site_fract_z
_atom_site_occupancy
Li1 Li 0.000 0.000 0.000 1
Ho1 Ho 0.500 0.500 0.500 1
Ge1 Ge 0.258 0.258 0.258 1
Ge2 Ge 0.742 0.742 0.742 1
Pd1 Pd 0.101 0.101 0.101 1
Pd2 Pd 0.369 0.369 0.369 1
Pd3 Pd 0.631 0.631 0.631 1
Pd4 Pd 0.899 0.899 0.899 1
# magnetization	0.0	μB/cell
# formation energy from the elements	-0.684	eV/atom

=====

# Dy3Er3Tl2 | Alexandria via LeMat-Bulk | PBE | optimized geometry
data_Dy3Er3Tl2
_chemical_formula_sum 'Dy3 Er3 Tl2'
_space_group_name_H-M_alt 'P 1'
_space_group_IT_number 1
_cell_length_a 4.823
_cell_length_b 4.830
_cell_length_c 9.672
_cell_angle_alpha 90.00
_cell_angle_beta 90.00
_cell_angle_gamma 90.00
loop_
_space_group_symop_operation_xyz
'x,y,z'
loop_
_atom_site_label
_atom_site_type_symbol
_atom_site_fract_x
_atom_site_fract_y
_atom_site_fract_z
_atom_site_occupancy
Dy1 Dy 0.000 0.000 0.000 1
Dy2 Dy 0.000 0.000 0.500 1
Dy3 Dy 0.500 0.500 0.000 1
Er1 Er 0.500 0.000 0.251 1
Er2 Er 0.500 0.000 0.749 1
Er3 Er 0.500 0.500 0.500 1
Tl1 Tl 0.000 0.500 0.251 1
Tl2 Tl 0.000 0.500 0.749 1
# magnetization	1.4	μB/cell
# formation energy from the elements	-0.173	eV/atom

=====

# Pr2HgPdO6 | Alexandria via LeMat-Bulk | PBE | optimized geometry
data_Pr2HgPdO6
_chemical_formula_sum 'Pr4 Hg2 Pd2 O12'
_space_group_name_H-M_alt 'P 1'
_space_group_IT_number 1
_cell_length_a 5.664
_cell_length_b 6.161
_cell_length_c 9.801
_cell_angle_alpha 90.00
_cell_angle_beta 124.28
_cell_angle_gamma 90.00
loop_
_space_group_symop_operation_xyz
'x,y,z'
loop_
_atom_site_label
_atom_site_type_symbol
_atom_site_fract_x
_atom_site_fract_y
_atom_site_fract_z
_atom_site_occupancy
Pr1 Pr 0.221 0.072 0.245 1
Pr2 Pr 0.221 0.428 0.745 1
Pr3 Pr 0.779 0.572 0.255 1
Pr4 Pr 0.779 0.928 0.755 1
Hg1 Hg 0.000 0.000 0.500 1
Hg2 Hg 0.000 0.500 0.000 1
Pd1 Pd 0.500 0.000 0.000 1
Pd2 Pd 0.500 0.500 0.500 1
O1 O 0.149 0.170 0.949 1
O2 O 0.149 0.330 0.449 1
O3 O 0.260 0.719 0.923 1
O4 O 0.260 0.781 0.423 1
O5 O 0.399 0.062 0.769 1
O6 O 0.399 0.438 0.269 1
O7 O 0.601 0.562 0.731 1
O8 O 0.601 0.938 0.231 1
O9 O 0.740 0.219 0.577 1
O10 O 0.740 0.281 0.077 1
O11 O 0.851 0.670 0.551 1
O12 O 0.851 0.830 0.051 1
# magnetization	0.0	μB/cell
# formation energy without anion corrections	-1824	meV/atom

=====

# Mg2SbBr | Alexandria via LeMat-Bulk | PBE | optimized geometry
data_Mg2SbBr
_chemical_formula_sum 'Mg2 Sb1 Br1'
_space_group_name_H-M_alt 'P 1'
_space_group_IT_number 1
_cell_length_a 3.653
_cell_length_b 4.025
_cell_length_c 7.322
_cell_angle_alpha 90.00
_cell_angle_beta 90.00
_cell_angle_gamma 90.00
loop_
_space_group_symop_operation_xyz
'x,y,z'
loop_
_atom_site_label
_atom_site_type_symbol
_atom_site_fract_x
_atom_site_fract_y
_atom_site_fract_z
_atom_site_occupancy
Mg1 Mg 0.000 0.000 0.202 1
Mg2 Mg 0.000 0.000 0.798 1
Sb1 Sb 0.500 0.500 0.000 1
Br1 Br 0.500 0.000 0.500 1
# magnetization	0.0	μB/cell
# formation energy without anion corrections	-537	meV/atom

=====

# TbBe17Re | Alexandria via LeMat-Bulk | PBE | optimized geometry
data_TbBe17Re
_chemical_formula_sum 'Tb1 Be17 Re1'
_space_group_name_H-M_alt 'P 1'
_space_group_IT_number 1
_cell_length_a 5.636
_cell_length_b 5.636
_cell_length_c 5.636
_cell_angle_alpha 83.03
_cell_angle_beta 83.03
_cell_angle_gamma 83.03
loop_
_space_group_symop_operation_xyz
'x,y,z'
loop_
_atom_site_label
_atom_site_type_symbol
_atom_site_fract_x
_atom_site_fract_y
_atom_site_fract_z
_atom_site_occupancy
Tb1 Tb 0.000 0.000 0.000 1
Be1 Be 0.010 0.010 0.495 1
Be2 Be 0.010 0.495 0.010 1
Be3 Be 0.159 0.659 0.659 1
Be4 Be 0.321 0.321 0.811 1
Be5 Be 0.321 0.811 0.321 1
Be6 Be 0.373 0.653 0.955 1
Be7 Be 0.373 0.955 0.653 1
Be8 Be 0.495 0.010 0.010 1
Be9 Be 0.557 0.557 0.557 1
Be10 Be 0.653 0.373 0.955 1
Be11 Be 0.653 0.955 0.373 1
Be12 Be 0.659 0.159 0.659 1
Be13 Be 0.659 0.659 0.159 1
Be14 Be 0.750 0.750 0.750 1
Be15 Be 0.811 0.321 0.321 1
Be16 Be 0.955 0.373 0.653 1
Be17 Be 0.955 0.653 0.373 1
Re1 Re 0.325 0.325 0.325 1
# magnetization	0.0	μB/cell
# formation energy from the elements	-0.086	eV/atom

=====

# Sc2CuPb2 | Alexandria via LeMat-Bulk | PBE | optimized geometry
data_Sc2CuPb2
_chemical_formula_sum 'Sc4 Cu2 Pb4'
_space_group_name_H-M_alt 'P 1'
_space_group_IT_number 1
_cell_length_a 4.951
_cell_length_b 4.951
_cell_length_c 12.014
_cell_angle_alpha 90.00
_cell_angle_beta 90.00
_cell_angle_gamma 90.00
loop_
_space_group_symop_operation_xyz
'x,y,z'
loop_
_atom_site_label
_atom_site_type_symbol
_atom_site_fract_x
_atom_site_fract_y
_atom_site_fract_z
_atom_site_occupancy
Sc1 Sc 0.000 0.500 0.250 1
Sc2 Sc 0.000 0.500 0.750 1
Sc3 Sc 0.500 0.000 0.250 1
Sc4 Sc 0.500 0.000 0.750 1
Cu1 Cu 0.000 0.000 0.000 1
Cu2 Cu 0.500 0.500 0.500 1
Pb1 Pb 0.000 0.000 0.381 1
Pb2 Pb 0.000 0.000 0.619 1
Pb3 Pb 0.500 0.500 0.119 1
Pb4 Pb 0.500 0.500 0.881 1
# magnetization	0.0	μB/cell
# formation energy from the elements	0.478	eV/atom

=====

# TaAgHgAu2 | Alexandria via LeMat-Bulk | PBE | optimized geometry
data_TaAgHgAu2
_chemical_formula_sum 'Ta1 Ag1 Hg1 Au2'
_space_group_name_H-M_alt 'P 1'
_space_group_IT_number 1
_cell_length_a 5.091
_cell_length_b 5.091
_cell_length_c 5.020
_cell_angle_alpha 90.00
_cell_angle_beta 90.00
_cell_angle_gamma 90.00
loop_
_space_group_symop_operation_xyz
'x,y,z'
loop_
_atom_site_label
_atom_site_type_symbol
_atom_site_fract_x
_atom_site_fract_y
_atom_site_fract_z
_atom_site_occupancy
Ta1 Ta 0.000 0.000 0.000 1
Ag1 Ag 0.500 0.500 0.000 1
Hg1 Hg 0.500 0.500 0.500 1
Au1 Au 0.000 0.500 0.500 1
Au2 Au 0.500 0.000 0.500 1
# magnetization	2.8	μB/cell
# formation energy from the elements	1.467	eV/atom